[1]
# Li3YIn, relaxed, DFT PBE
data_Li3YIn
_space_group_name_H-M_alt 'P m -3 m'
_space_group_IT_number 221
_space_group_name_Hall '-P 4 2 3'
_cell_length_a 4.935
_cell_length_b 4.935
_cell_length_c 4.935
_cell_angle_alpha 90.00
_cell_angle_beta 90.00
_cell_angle_gamma 90.00
loop_
_atom_site_label
_atom_site_type_symbol
_atom_site_fract_x
_atom_site_fract_y
_atom_site_fract_z
Li1 Li 0.000 0.000 0.500
Y1 Y 0.500 0.500 0.500
In1 In 0.000 0.000 0.000
# Size of the total moment: 0.1013 μB/atom
# Relative energy among the computed polymorphs: 0 meV/atom
# Density of states at the Fermi level: 4.09 states/eV per cell
# Formation energy: 14.4 kJ/mol of atoms

[2]
# SrIn2Cl, relaxed, DFT PBE
data_SrIn2Cl
_space_group_name_H-M_alt 'I m m m'
_space_group_IT_number 71
_space_group_name_Hall '-I 2 2'
_cell_length_a 4.248
_cell_length_b 4.260
_cell_length_c 13.682
_cell_angle_alpha 90.00
_cell_angle_beta 90.00
_cell_angle_gamma 90.00
loop_
_atom_site_label
_atom_site_type_symbol
_atom_site_fract_x
_atom_site_fract_y
_atom_site_fract_z
Sr1 Sr 0.000 0.000 0.000
In1 In 0.000 0.500 0.251
Cl1 Cl 0.000 0.000 0.500
# Formation energy (no corrections): -0.80 eV per atom
# Size of the total moment: 0.0000 μB/atom
# Relative energy among the computed polymorphs: 17 meV/atom
# Density of states at the Fermi level: 4.65 states/eV per cell

[3]
# KPrCuSe2, relaxed, DFT PBE
data_KPrCuSe2
_space_group_name_H-M_alt 'P 1 2/c 1'
_space_group_IT_number 13
_space_group_name_Hall '-P 2yc'
_cell_length_a 7.868
_cell_length_b 4.700
_cell_length_c 8.449
_cell_angle_alpha 90.00
_cell_angle_beta 99.90
_cell_angle_gamma 90.00
loop_
_atom_site_label
_atom_site_type_symbol
_atom_site_fract_x
_atom_site_fract_y
_atom_site_fract_z
K1 K 0.000 0.180 0.250
Pr1 Pr 0.500 0.490 0.750
Cu1 Cu 0.500 0.000 0.000
Se1 Se 0.259 0.301 0.965
# Formation energy (no corrections): -1.01 eV per atom
# Size of the total moment: 0.0000 μB/atom
# Density of states at the Fermi level: 4.61 states/eV per cell

[4]
# K2DyYTe4, relaxed, DFT PBE
data_K2DyYTe4
_space_group_name_H-M_alt 'P 1 2/m 1'
_space_group_IT_number 10
_space_group_name_Hall '-P 2y'
_cell_length_a 7.788
_cell_length_b 4.498
_cell_length_c 8.641
_cell_angle_alpha 90.00
_cell_angle_beta 107.48
_cell_angle_gamma 90.00
loop_
_atom_site_label
_atom_site_type_symbol
_atom_site_fract_x
_atom_site_fract_y
_atom_site_fract_z
K1 K 0.000 0.000 0.000
K2 K 0.500 0.500 0.000
Dy1 Dy 0.000 0.500 0.500
Y1 Y 0.500 0.000 0.500
Te1 Te 0.236 0.000 0.709
Te2 Te 0.264 0.500 0.291
# Formation energy (no corrections): -1.40 eV per atom
# Size of the total moment: 0.0000 μB/atom

[5]
# Ca2CdNiH, relaxed, DFT PBE
data_Ca2CdNiH
_space_group_name_H-M_alt 'P 4/m m m'
_space_group_IT_number 123
_space_group_name_Hall '-P 4 2'
_cell_length_a 5.164
_cell_length_b 5.164
_cell_length_c 3.606
_cell_angle_alpha 90.00
_cell_angle_beta 90.00
_cell_angle_gamma 90.00
loop_
_atom_site_label
_atom_site_type_symbol
_atom_site_fract_x
_atom_site_fract_y
_atom_site_fract_z
Ca1 Ca 0.000 0.500 0.000
Cd1 Cd 0.000 0.000 0.500
Ni1 Ni 0.500 0.500 0.500
H1 H 0.500 0.500 0.000
# Size of the total moment: 0.0000 μB/atom
# Energy: -3.048 eV/atom
# Density of states at the Fermi level: 2.51 states/eV per cell

[6]
# HoNb2, relaxed, DFT PBE
data_HoNb2
_space_group_name_H-M_alt 'I 4/m m m'
_space_group_IT_number 139
_space_group_name_Hall '-I 4 2'
_cell_length_a 3.504
_cell_length_b 3.504
_cell_length_c 10.838
_cell_angle_alpha 90.00
_cell_angle_beta 90.00
_cell_angle_gamma 90.00
loop_
_atom_site_label
_atom_site_type_symbol
_atom_site_fract_x
_atom_site_fract_y
_atom_site_fract_z
Ho1 Ho 0.000 0.000 0.000
Nb1 Nb 0.000 0.000 0.305
# Size of the total moment: 0.0000 μB/atom
# Relative energy among the computed polymorphs: 0 meV/atom
# Density of states at the Fermi level: 6.76 states/eV per cell
# Formation energy: 13.9 kJ/mol of atoms

[7]
# Sr3Al2Zn2Au4, relaxed, DFT PBE
data_Sr3Al2Zn2Au4
_space_group_name_H-M_alt 'P -3 m 1'
_space_group_IT_number 164
_space_group_name_Hall '-P 3 2"'
_cell_length_a 4.5325
_cell_length_b 4.5325
_cell_length_c 15.5949
_cell_angle_alpha 90.00
_cell_angle_beta 90.00
_cell_angle_gamma 120.00
loop_
_atom_site_label
_atom_site_type_symbol
_atom_site_fract_x
_atom_site_fract_y
_atom_site_fract_z
Sr1 Sr 0.0000 0.0000 0.0000
Sr2 Sr 0.0000 0.0000 0.2768
Al1 Al 0.3333 0.6667 0.5660
Zn1 Zn 0.3333 0.6667 0.1392
Au1 Au 0.3333 0.6667 0.4028
Au2 Au 0.3333 0.6667 0.8652
# Size of the total moment: 0.0000 μB/atom
# Density of states at the Fermi level: 5.18 states/eV per cell
# Formation energy: -52.4 kJ/mol of atoms

[8]
# ScPb3, relaxed, DFT PBE
data_ScPb3
_space_group_name_H-M_alt 'I m m 2'
_space_group_IT_number 44
_space_group_name_Hall 'I 2 -2'
_cell_length_a 3.505
_cell_length_b 11.160
_cell_length_c 5.685
_cell_angle_alpha 90.00
_cell_angle_beta 90.00
_cell_angle_gamma 90.00
loop_
_atom_site_label
_atom_site_type_symbol
_atom_site_fract_x
_atom_site_fract_y
_atom_site_fract_z
Sc1 Sc 0.000 0.000 0.000
Pb1 Pb 0.000 0.263 0.364
Pb2 Pb 0.000 0.500 0.976
# Size of the total moment: 0.0000 μB/atom
# Density of states at the Fermi level: 5.89 states/eV per cell
# Formation energy: -10.4 kJ/mol of atoms